Entry 1:
A plane-wave DFT calculation with PBE-GGA was carried out for an optimized crystal structure of Rb2MgB.

Cell lengths 12.949, 12.949, 4.563 Å; angles 90.00, 90.00, 90.00 degrees
Space group I-42d (No. 122)
Asymmetric unit:
Rb1 0.056 0.750 0.125 (multiplicity 8)
Mg1 0.000 0.000 0.500 (multiplicity 4)
B1 0.000 0.000 0.000 (multiplicity 4)

Computed properties:
Volume: 47.816 Å³/atom
DFT total energy: -1.825 eV/atom



Entry 2:
A plane-wave DFT calculation with PBE-GGA was carried out for an optimized crystal structure of Rb2MgBRh.

Cell lengths 6.682, 6.682, 4.771 Å; angles 90.00, 90.00, 90.00 degrees
Space group P4/mmm (No. 123)
Asymmetric unit:
Rb1 0.000 0.500 0.000 (multiplicity 2)
Mg1 0.000 0.000 0.000 (multiplicity 1)
B1 0.500 0.500 0.500 (multiplicity 1)
Rh1 0.000 0.000 0.500 (multiplicity 1)

Computed properties:
Volume: 42.606 Å³/atom
DFT total energy: -2.057 eV/atom



Entry 3:
A plane-wave DFT calculation with PBE-GGA was carried out for an optimized crystal structure of RbMgB2S.

Cell lengths 4.713, 4.713, 5.043 Å; angles 90.00, 90.00, 90.00 degrees
Space group P4/mmm (No. 123)
Asymmetric unit:
Rb1 0.000 0.000 0.000 (multiplicity 1)
Mg1 0.500 0.500 0.500 (multiplicity 1)
B1 0.000 0.500 0.500 (multiplicity 2)
S1 0.500 0.500 0.000 (multiplicity 1)

Computed properties:
Volume: 22.404 Å³/atom
DFT total energy: -2.895 eV/atom



Entry 4:
A plane-wave DFT calculation with PBE-GGA was carried out for an optimized crystal structure of RbMgBS3.

Cell lengths 3.543, 14.865, 10.074 Å; angles 90.00, 90.00, 90.00 degrees
Space group Cmcm (No. 63)
Asymmetric unit:
Rb1 0.000 0.236 0.250 (multiplicity 4)
Mg1 0.000 0.500 0.000 (multiplicity 4)
B1 0.000 0.045 0.750 (multiplicity 4)
S1 0.000 0.108 0.589 (multiplicity 8)
S2 0.000 0.458 0.750 (multiplicity 4)

Computed properties:
Volume: 22.107 Å³/atom
DFT total energy: -4.530 eV/atom



Entry 5:
A plane-wave DFT calculation with PBE-GGA was carried out for an optimized crystal structure of Rb3MgB2S6.

Cell lengths 6.7231, 6.7231, 8.8398 Å; angles 90.00, 90.00, 120.00 degrees
Space group P-3m1 (No. 164)
Asymmetric unit:
Rb1 0.0000 0.0000 0.0000 (multiplicity 1)
Rb2 0.3333 0.6667 0.6760 (multiplicity 2)
Mg1 0.0000 0.0000 0.5000 (multiplicity 1)
B1 0.3333 0.6667 0.3113 (multiplicity 2)
S1 0.1768 0.3536 0.3039 (multiplicity 6)

Computed properties:
Volume: 28.836 Å³/atom
DFT total energy: -4.399 eV/atom



Entry 6:
A plane-wave DFT calculation with PBE-GGA was carried out for an optimized crystal structure of Rb2MgBSe4.

Cell lengths 5.899, 13.879, 25.343 Å; angles 90.00, 90.00, 90.00 degrees
Space group Fddd (No. 70, origin choice 2)
Asymmetric unit:
Rb1 0.125 0.125 0.302 (multiplicity 16)
Mg1 0.125 0.125 0.125 (multiplicity 8)
B1 0.125 0.125 0.625 (multiplicity 8)
Se1 0.067 0.286 0.825 (multiplicity 32)

Computed properties:
Volume: 32.419 Å³/atom
DFT total energy: -3.762 eV/atom